Compound: SmHo2Ru
Source: Alexandria
Functional: PBE
Structure: relaxed

DFT total energy (eV per atom): -6.09
Magnetization (μB/f.u.): 0.00
Energy above the lowest structure with this stoichiometry (meV per atom): 0
E_form (kcal/mol of atoms): -7.0

Unit cell a=7.3154 b=9.2077 c=6.3614 alpha=90.00 beta=90.00 gamma=90.00
Space group Pnma (No. 62)
Unique sites:
Sm: 0.0405 0.2500 0.1323 x4
Ho: 0.1764 0.0654 0.6677 x8
Ru: 0.1142 0.7500 0.4529 x4